MgSi2, optimized geometry, DFT PBE-GGA; density of states at the Fermi level = 3.1 states/eV per cell; energy above the lowest structure with this stoichiometry = 0.240 eV/f.u.; energy relative to the elements, uncorrected = 0.104 eV per atom; E_tot = -48.52 eV for the cell shown; magnetic moment = 0.0 μB per cell; calculated volume = 17.9 Å³ per atom
1.0
1.952 5.261 0.134
-1.952 5.261 0.134
0.000 3.544 10.554
Mg Si
4 8
Direct
0.500 0.500 0.000
0.787 0.787 0.714
0.500 0.500 0.500
0.213 0.213 0.286
0.922 0.922 0.224
0.771 0.771 0.065
0.229 0.229 0.935
0.554 0.554 0.235
0.078 0.078 0.776
0.446 0.446 0.765
0.183 0.183 0.543
0.817 0.817 0.457